The following is a DFT calculation (PBE-GGA) of an optimized crystal structure of CsPrAs2O6. Values from VASP.

```
&SYSTEM
  ibrav = 0, nat = 20, ntyp = 4
/
ATOMIC_SPECIES
O 16.00 O.upf
As 74.92 As.upf
Cs 132.91 Cs.upf
Pr 140.91 Pr.upf
CELL_PARAMETERS angstrom
7.3699 0.3828 0.2617
-0.5223 7.3613 0.2617
-1.6889 -1.9100 6.4545
ATOMIC_POSITIONS crystal
O 0.3898 0.9248 0.7422
O 0.1526 0.1782 0.5431
O 0.0752 0.6102 0.7578
O 0.1782 0.1526 0.0431
O 0.8474 0.8218 0.4569
O 0.8218 0.8474 0.9569
O 0.6808 0.5512 0.6129
O 0.4488 0.3192 0.8871
O 0.5512 0.6808 0.1129
O 0.9248 0.3898 0.2422
O 0.3192 0.4488 0.3871
O 0.6102 0.0752 0.2578
As 0.1294 0.2739 0.2929
As 0.8706 0.7261 0.7071
As 0.7261 0.8706 0.2071
As 0.2739 0.1294 0.7929
Cs 0.1991 0.8009 0.2500
Cs 0.8009 0.1991 0.7500
Pr 0.3936 0.6064 0.7500
Pr 0.6064 0.3936 0.2500
```

## Properties
The calculation puts the uncorrected energy at -125.59 eV per cell. The energy relative to the elements, uncorrected is -174.8 kJ per mole of atoms. The value obtained for the total magnetization is 0.000 Bohr magnetons per cell. The calculated density comes out at 4.81 g/cm3.